# NaRe3Si PBE relaxed
# VASP energy in eV per cell: -28.04
# ΔE_f (raw) in eV per atom: 3.21
# Crystal system: cubic
# Total magnetization in μB per cell: 5.07
# Distance to the lowest polymorph of the same formula in meV/atom: 1757
# Calculated density in g/cm3: 11.24
# D(E_F) in states/eV/atom: 0.833
data_NaRe3Si
_space_group_name_H-M_alt 'P 1'
_space_group_IT_number 1
_cell_length_a 4.483
_cell_length_b 4.483
_cell_length_c 4.483
_cell_angle_alpha 90.00
_cell_angle_beta 90.00
_cell_angle_gamma 90.00
loop_
_space_group_symop_operation_xyz
'x,y,z'
loop_
_atom_site_label
_atom_site_fract_x
_atom_site_fract_y
_atom_site_fract_z
Na1 0.000 0.000 0.000
Re1 0.000 0.000 0.500
Re2 0.000 0.500 0.000
Re3 0.500 0.000 0.000
Si1 0.500 0.500 0.500